! GGA-PBE CeZr2PaP4, optimized geometry; values from VASP
! density of states at the Fermi level	0.825	states/eV per atom
! ΔE_f	-136.6	kJ per mole of atoms
! total moment	0.0	Bohr magnetons per cell
! space-group type	P2/m (10)
&SYSTEM
  ibrav = 0, nat = 8, ntyp = 4
/
ATOMIC_SPECIES
Ce 140.12 Ce.upf
Zr 91.22 Zr.upf
Pa 231.04 Pa.upf
P 30.97 P.upf
ATOMIC_POSITIONS crystal
Ce 0.500 0.500 0.000
Zr 0.000 0.000 0.000
Zr 0.500 0.000 0.500
Pa 0.000 0.500 0.500
P 0.000 0.766 0.741
P 0.000 0.234 0.259
P 0.500 0.765 0.248
P 0.500 0.235 0.752
CELL_PARAMETERS angstrom
-1.472 3.529 -0.733
-6.162 -2.378 0.925
-1.726 0.628 6.485